Record 1
The following is a DFT calculation (PBE) of a relaxed structure of Hf4TlInC2.

```
Hf4TlInC2
1.0
3.331 0.000 0.000
-1.666 2.885 0.000
0.000 0.000 14.880
Hf Tl In C
4 1 1 2
direct
0.000 0.000 0.168
0.000 0.000 0.832
0.667 0.333 0.331
0.667 0.333 0.669
0.000 0.000 0.500
0.667 0.333 0.000
0.333 0.667 0.250
0.333 0.667 0.750
```

Summary:
ρ	12.3	g/cm³
calculated total energy	-68.75	eV/cell

---

Record 2
The following is a DFT calculation (PBE) of a relaxed structure of TmHfInC.

```
TmHfInC
1.0
3.424 0.000 0.000
-1.712 2.965 0.000
0.000 0.000 15.478
Tm Hf In C
2 2 2 2
direct
0.333 0.667 0.087
0.667 0.333 0.913
0.333 0.667 0.423
0.667 0.333 0.577
0.333 0.667 0.740
0.667 0.333 0.260
0.000 0.000 0.000
0.000 0.000 0.500
```

Summary:
ρ	10.0	g/cm³
calculated total energy	-57.15	eV/cell

---

Record 3
The following is a DFT calculation (PBE) of a relaxed structure of TmHf3In2C2.

```
TmHf3In2C2
1.0
3.365 0.000 0.000
-1.683 2.914 0.000
0.000 0.000 15.182
Tm Hf In C
1 3 2 2
direct
0.000 0.000 0.000
0.000 0.000 0.660
0.333 0.667 0.170
0.333 0.667 0.501
0.000 0.000 0.337
0.333 0.667 0.825
0.667 0.333 0.096
0.667 0.333 0.581
```

Summary:
ρ	10.7	g/cm³
calculated total energy	-63.34	eV/cell

---

Record 4
The following is a DFT calculation (PBE) of a relaxed structure of TmHfInC.

```
TmHfInC
1.0
3.412 0.000 0.000
-1.706 2.955 0.000
0.000 0.000 15.474
Tm Hf In C
2 2 2 2
direct
0.000 0.000 0.172
0.000 0.000 0.828
0.333 0.667 0.338
0.333 0.667 0.662
0.000 0.000 0.500
0.333 0.667 0.000
0.667 0.333 0.266
0.667 0.333 0.734
```

Summary:
ρ	10.1	g/cm³
calculated total energy	-57.34	eV/cell

---

Record 5
The following is a DFT calculation (PBE) of a relaxed structure of TmHfInC.

```
TmHfInC
1.0
3.414 0.000 0.000
-1.707 2.956 0.000
0.000 0.000 15.480
Tm Hf In C
2 2 2 2
direct
0.333 0.667 0.000
0.667 0.333 0.500
0.333 0.667 0.666
0.667 0.333 0.166
0.333 0.667 0.330
0.667 0.333 0.830
0.000 0.000 0.094
0.000 0.000 0.594
```

Summary:
ρ	10.1	g/cm³
calculated total energy	-57.32	eV/cell

---

Record 6
The following is a DFT calculation (PBE) of a relaxed structure of Hf4In3W2C3.

```
Hf4In3W2C3
1.0
4.830 -2.796 0.000
4.830 2.796 0.000
-3.249 0.000 14.590
Hf In W C
8 6 4 6
direct
0.034 0.191 0.087
0.132 0.305 0.413
0.191 0.034 0.587
0.305 0.132 0.913
0.695 0.868 0.087
0.809 0.966 0.413
0.868 0.695 0.587
0.966 0.809 0.913
0.105 0.895 0.250
0.270 0.417 0.752
0.417 0.270 0.252
0.583 0.730 0.748
0.730 0.583 0.248
0.895 0.105 0.750
0.351 0.525 0.076
0.475 0.649 0.424
0.525 0.351 0.576
0.649 0.475 0.924
0.000 0.500 0.000
0.173 0.664 0.500
0.336 0.827 0.000
0.500 0.000 0.500
0.664 0.173 0.000
0.827 0.336 0.500
```

Summary:
ρ	12.3	g/cm³
calculated total energy	-214.20	eV/cell

---

Record 7
The following is a DFT calculation (PBE) of a relaxed structure of Hf2In3W4C3.

```
Hf2In3W4C3
1.0
4.792 -2.777 0.000
4.792 2.777 0.000
-3.244 0.000 14.111
Hf In W C
4 6 8 6
direct
0.031 0.865 0.592
0.135 0.969 0.908
0.865 0.031 0.092
0.969 0.135 0.408
0.084 0.283 0.750
0.283 0.084 0.250
0.451 0.549 0.750
0.549 0.451 0.250
0.717 0.916 0.750
0.916 0.717 0.250
0.194 0.358 0.076
0.307 0.474 0.424
0.358 0.194 0.576
0.474 0.307 0.924
0.526 0.693 0.076
0.642 0.806 0.424
0.693 0.526 0.576
0.806 0.642 0.924
0.000 0.500 0.500
0.165 0.669 0.000
0.331 0.835 0.500
0.500 0.000 0.000
0.669 0.165 0.500
0.835 0.331 0.000
```

Summary:
ρ	13.0	g/cm³
calculated total energy	-218.66	eV/cell

---

Record 8
The following is a DFT calculation (PBE) of a relaxed structure of Y4Hf2In3C3.

```
Y4Hf2In3C3
1.0
5.276 -3.056 0.000
5.276 3.056 0.000
-3.590 0.000 15.581
Y Hf In C
8 4 6 6
direct
0.037 0.191 0.091
0.129 0.304 0.409
0.191 0.037 0.591
0.304 0.129 0.909
0.696 0.871 0.091
0.809 0.963 0.409
0.871 0.696 0.591
0.963 0.809 0.909
0.351 0.524 0.073
0.476 0.649 0.427
0.524 0.351 0.573
0.649 0.476 0.927
0.128 0.872 0.250
0.292 0.418 0.751
0.418 0.292 0.251
0.582 0.708 0.749
0.708 0.582 0.249
0.872 0.128 0.750
0.000 0.500 0.000
0.197 0.652 0.500
0.348 0.803 0.000
0.500 0.000 0.500
0.652 0.197 0.000
0.803 0.348 0.500
```

Summary:
ρ	7.2	g/cm³
calculated total energy	-175.78	eV/cell

---

Record 9
The following is a DFT calculation (PBE) of a relaxed structure of Hf4ZnInC2.

```
Hf4ZnInC2
1.0
3.294 0.000 0.000
-1.647 2.853 0.000
0.000 0.000 14.595
Hf Zn In C
4 1 1 2
direct
0.000 0.000 0.158
0.000 0.000 0.842
0.667 0.333 0.328
0.667 0.333 0.672
0.667 0.333 0.000
0.000 0.000 0.500
0.333 0.667 0.245
0.333 0.667 0.755
```

Summary:
ρ	11.1	g/cm³
calculated total energy	-67.30	eV/cell

---

Record 10
The following is a DFT calculation (PBE) of a relaxed structure of HfZr3In2C2.

```
HfZr3In2C2
1.0
3.359 0.000 0.000
-1.680 2.909 0.000
0.000 0.000 15.066
Hf Zr In C
1 3 2 2
direct
0.000 0.000 0.000
0.000 0.000 0.336
0.333 0.667 0.501
0.333 0.667 0.837
0.000 0.000 0.669
0.333 0.667 0.167
0.667 0.333 0.418
0.667 0.333 0.922
```

Summary:
ρ	8.0	g/cm³
calculated total energy	-65.12	eV/cell

---

Record 11
The following is a DFT calculation (PBE) of a relaxed structure of Hf3ZrIn2C2.

```
Hf3ZrIn2C2
1.0
3.335 0.000 0.000
-1.667 2.888 0.000
0.000 0.000 14.955
Hf Zr In C
3 1 2 2
direct
0.000 0.000 0.000
0.000 0.000 0.336
0.333 0.667 0.498
0.333 0.667 0.835
0.000 0.000 0.666
0.333 0.667 0.168
0.667 0.333 0.417
0.667 0.333 0.921
```

Summary:
ρ	10.1	g/cm³
calculated total energy	-68.01	eV/cell

---

Record 12
The following is a DFT calculation (PBE) of a relaxed structure of HfIrC2.

```
HfIrC2
1.0
3.193 0.000 0.000
0.000 3.193 0.000
0.000 0.000 4.494
Hf Ir C
1 1 2
direct
0.000 0.000 0.000
0.500 0.500 0.500
0.000 0.000 0.500
0.500 0.500 0.000
```

Summary:
ρ	14.3	g/cm³
calculated total energy	-36.19	eV/cell